(1)
Compound: Sm8TlPd2
Source: the Alexandria database
Functional: PBE-GGA
Structure: optimized geometry

The structure in POSCAR format:
```
Sm8TlPd2
1.0
8.742 -2.529 0.000
8.742 2.529 0.000
-3.306 0.000 7.234
Sm Tl Pd
8 1 2
direct
0.050 0.050 0.260
0.186 0.186 0.788
0.317 0.317 0.525
0.405 0.405 0.034
0.595 0.595 0.966
0.683 0.683 0.475
0.814 0.814 0.212
0.950 0.950 0.740
0.500 0.500 0.500
0.191 0.191 0.150
0.809 0.809 0.850
```

Symmetry = C2/m (12)
Relative energy among the computed polymorphs = 0.0 meV per atom
Fermi-level density of states = 11.6 states/eV per cell
Crystal system = monoclinic
Magnetic moment = 0.00 μB per cell
Raw total energy = -4.938 eV per atom
Formation enthalpy at 0 K = -0.346 eV per atom



(2)
Compound: CuTe
Source: the Alexandria database
Functional: PBE-GGA
Structure: optimized geometry

The structure in POSCAR format:
```
CuTe
1.0
7.029 0.000 0.000
0.000 7.293 0.000
0.000 0.000 7.721
Cu Te
8 8
direct
0.065 0.204 0.419
0.183 0.883 0.520
0.317 0.117 0.020
0.435 0.796 0.919
0.565 0.296 0.581
0.683 0.617 0.480
0.817 0.383 0.980
0.935 0.704 0.081
0.087 0.911 0.852
0.144 0.395 0.146
0.356 0.605 0.646
0.413 0.089 0.352
0.587 0.589 0.148
0.644 0.105 0.854
0.856 0.895 0.354
0.913 0.411 0.648
```

ΔE_f (raw) = 0.043 eV per atom
Symmetry = P2_12_12_1 (19)
Fermi-level density of states = 3.5 states/eV per cell
Crystal system = orthorhombic
Magnetic moment = 0.00 μB per cell
Raw total energy = -3.576 eV per atom



(3)
Compound: PmGePd2
Source: the Alexandria database
Functional: PBE-GGA
Structure: optimized geometry

The structure in POSCAR format:
```
PmGePd2
1.0
3.676 0.000 0.000
0.000 4.199 0.000
0.000 0.000 5.510
Pm Ge Pd
1 1 2
direct
0.000 0.000 0.000
0.500 0.000 0.500
0.500 0.500 0.249
0.500 0.500 0.751
```

Symmetry = Pmmm (47)
Fermi-level density of states = 2.1 states/eV per cell
Crystal system = orthorhombic
Magnetic moment = 0.00 μB per cell
Raw total energy = -5.585 eV per atom
Formation enthalpy at 0 K = -0.647 eV per atom



(4)
Compound: GaSi2Pb2
Source: the Alexandria database
Functional: PBE-GGA
Structure: optimized geometry

The structure in POSCAR format:
```
GaSi2Pb2
1.0
6.639 0.000 0.000
0.000 6.639 0.000
0.000 0.000 5.300
Ga Si Pb
2 4 4
direct
0.000 0.000 0.000
0.500 0.500 0.000
0.127 0.373 0.000
0.373 0.873 0.000
0.627 0.127 0.000
0.873 0.627 0.000
0.198 0.698 0.500
0.302 0.198 0.500
0.698 0.802 0.500
0.802 0.302 0.500
```

ΔE_f (raw) = 0.272 eV per atom
Symmetry = P4/mbm (127)
Relative energy among the computed polymorphs = 14.6 meV per atom
Fermi-level density of states = 4.0 states/eV per cell
Crystal system = tetragonal
Magnetic moment = 0.00 μB per cell
Raw total energy = -3.986 eV per atom



(5)
Compound: CdSbTeRh2
Source: the Alexandria database
Functional: PBE-GGA
Structure: optimized geometry

The structure in POSCAR format:
```
CdSbTeRh2
1.0
4.922 0.000 0.000
0.000 4.922 0.000
0.000 0.000 5.341
Cd Sb Te Rh
1 1 1 2
direct
0.000 0.000 0.000
0.000 0.000 0.500
0.500 0.500 0.000
0.000 0.500 0.500
0.500 0.000 0.500
```

ΔE_f (raw) = 0.712 eV per atom
Symmetry = P4/mmm (123)
Fermi-level density of states = 7.0 states/eV per cell
Crystal system = tetragonal
Magnetic moment = 0.00 μB per cell
Raw total energy = -3.864 eV per atom